Material: Tb3Pm5Dy2
Method: DFT, PBE
State: relaxed

abc: 9.989 9.984 11.253
angles: 129.12 129.13 65.05
Positions (direct):
Tb 0.029 0.776 0.250
Tb 0.721 0.474 0.250
Tb 0.772 0.022 0.045
Tb 0.279 0.526 0.750
Tb 0.228 0.978 0.955
Tb 0.971 0.224 0.750
Pm 0.022 0.772 0.544
Pm 0.481 0.731 0.462
Pm 0.978 0.228 0.456
Pm 0.272 0.522 0.044
Pm 0.118 0.367 0.243
Pm 0.625 0.876 0.243
Pm 0.728 0.478 0.956
Pm 0.519 0.269 0.538
Pm 0.375 0.124 0.757
Pm 0.882 0.633 0.757
Dy 0.779 0.032 0.755
Dy 0.524 0.277 0.245
Dy 0.476 0.723 0.755
Dy 0.221 0.968 0.245

Values from the calculation:
The size of the total moment is 0.0000 μB per atom. As for the total energy: -4.4983 eV/atom.

Material: GaPNO2
Method: DFT, PBE
State: relaxed

abc: 3.403 3.403 3.882
angles: 90.00 90.00 90.00
Positions (direct):
Ga 0.500 0.500 0.500
O 0.000 0.500 0.000
O 0.500 0.000 0.000
N 0.000 0.000 0.500
P 0.000 0.000 0.000

Values from the calculation:
The size of the total moment is 0.0000 μB per atom. The formation energy from raw total energies comes out at -40 kJ/mol of atoms.

Material: Sr2CuAsN
Method: DFT, PBE
State: relaxed

abc: 5.450 5.450 3.672
angles: 90.00 90.00 90.00
Positions (direct):
Cu 0.000 0.000 0.500
Sr 0.000 0.500 0.000
Sr 0.500 0.000 0.000
As 0.500 0.500 0.500
N 0.000 0.000 0.000

Values from the calculation:
The size of the total moment is 0.0000 μB per atom. As for the energy above the lowest structure with this stoichiometry: 43 meV/atom. The formation energy from raw total energies comes out at -62 kJ/mol of atoms.

Material: Ti2GaN
Method: DFT, PBE
State: relaxed

abc: 4.232 4.232 4.232
angles: 60.00 60.00 60.00
Positions (direct):
Ti 0.250 0.250 0.250
Ti 0.750 0.750 0.750
N 0.000 0.000 0.000
Ga 0.500 0.500 0.500

Values from the calculation:
The size of the total moment is 0.0000 μB per atom. The formation energy from raw total energies comes out at 28 kJ/mol of atoms.

Material: Te3AsPb
Method: DFT, PBE
State: relaxed

abc: 5.784 5.784 5.784
angles: 90.00 90.00 90.00
Positions (direct):
Pb 0.000 0.000 0.000
Te 0.500 0.000 0.000
Te 0.000 0.000 0.500
Te 0.000 0.500 0.000
As 0.500 0.500 0.500

Values from the calculation:
The size of the total moment is 0.0011 μB per atom. As for the energy above the lowest structure with this stoichiometry: 1062 meV/atom. The formation energy from raw total energies comes out at 93 kJ/mol of atoms.

Material: FeSnS
Method: DFT, PBE
State: relaxed

abc: 5.934 3.147 6.315
angles: 90.00 98.34 90.00
Site moments in Bohr magnetons follow the coordinates.
Positions (direct):
Sn 0.765 0.500 0.200  0.00
Sn 0.278 0.000 0.230  0.01
Fe 0.944 0.000 0.881  1.10
Fe 0.342 0.500 0.886  -1.05
S 0.029 0.500 0.672  -0.01
S 0.566 0.000 0.806  0.01

Values from the calculation:
The size of the total moment is 0.0045 μB per atom. The formation energy from raw total energies comes out at -15 kJ/mol of atoms.

Material: Ac3In2I2
Method: DFT, PBE
State: relaxed

abc: 4.672 6.492 10.380
angles: 107.12 90.02 111.10
Positions (direct):
Ac 0.793 0.586 0.285
Ac 0.207 0.414 0.715
Ac 0.000 0.000 0.000
In 0.679 0.358 0.932
In 0.321 0.642 0.068
I 0.100 0.199 0.358
I 0.900 0.801 0.642

Values from the calculation:
The size of the total moment is 0.0000 μB per atom. The formation energy from raw total energies comes out at -71 kJ/mol of atoms.

Material: Tb2Nd2AlGa4
Method: DFT, PBE
State: relaxed

abc: 6.699 6.699 6.699
angles: 96.34 116.41 116.41
Positions (direct):
Ga 0.498 0.249 0.249
Ga 0.000 0.751 0.249
Ga 0.502 0.751 0.751
Ga 0.000 0.249 0.751
Nd 0.500 0.750 0.250
Nd 0.500 0.250 0.750
Tb 0.000 0.315 0.315
Tb 0.000 0.685 0.685
Al 0.000 0.000 0.000

Values from the calculation:
The size of the total moment is 0.0003 μB per atom. As for the total energy: -4.1483 eV/atom.

Material: CaTlCuI4
Method: DFT, PBE
State: relaxed

abc: 7.258 8.131 9.438
angles: 90.00 108.01 90.00
Positions (direct):
I 0.432 0.750 0.141
I 0.540 0.250 0.403
I 0.011 0.994 0.720
I 0.989 0.494 0.280
I 0.989 0.006 0.280
I 0.568 0.250 0.859
I 0.011 0.506 0.720
I 0.460 0.750 0.597
Ca 0.223 0.250 0.559
Ca 0.777 0.750 0.441
Tl 0.228 0.250 0.050
Tl 0.772 0.750 0.950
Cu 0.220 0.750 0.323
Cu 0.780 0.250 0.677

Values from the calculation:
The size of the total moment is 0.0000 μB per atom. The formation energy from raw total energies comes out at -85 kJ/mol of atoms.

Material: Rb5NaF5
Method: DFT, PBE
State: relaxed

abc: 5.646 6.916 8.146
angles: 106.09 90.00 114.09
Positions (direct):
Rb 0.669 0.339 0.307
Rb 0.331 0.661 0.693
Rb 0.670 0.341 0.849
Rb 0.330 0.659 0.151
Rb 0.000 0.000 0.500
Na 0.000 0.000 0.000
F 0.146 0.291 0.285
F 0.854 0.709 0.715
F 0.149 0.298 0.847
F 0.500 0.000 0.000
F 0.851 0.702 0.153

Values from the calculation:
The size of the total moment is 0.0188 μB per atom. The formation energy from raw total energies comes out at -225 kJ/mol of atoms.

Material: NaCaEr
Method: DFT, PBE
State: relaxed

abc: 3.665 3.665 16.097
angles: 90.00 90.00 90.00
Positions (direct):
Er 0.000 0.500 0.931
Er 0.500 0.000 0.069
Na 0.000 0.500 0.585
Na 0.500 0.000 0.415
Ca 0.500 0.000 0.765
Ca 0.000 0.500 0.235

Values from the calculation:
The size of the total moment is 0.0000 μB per atom. As for the energy above the lowest structure with this stoichiometry: 0 meV/atom.

Material: Cs2AlOsCl6
Method: DFT, PBE
State: relaxed

abc: 7.413 7.413 7.411
angles: 59.99 59.99 90.00
Site moments in Bohr magnetons follow the coordinates.
Positions (direct):
Cs 0.750 0.250 0.500  0.00
Cs 0.250 0.750 0.500  0.00
Cl 0.230 0.230 0.000  0.02
Cl 0.230 0.770 0.000  0.02
Cl 0.770 0.230 0.000  0.02
Cl 0.230 0.230 0.540  0.02
Cl 0.770 0.770 0.000  0.02
Cl 0.770 0.770 0.460  0.02
Al 0.500 0.500 0.000  -0.01
Os 0.000 0.000 0.000  0.78

Values from the calculation:
The size of the total moment is 0.1000 μB per atom. The formation energy from raw total energies comes out at -97 kJ/mol of atoms.